# Si3Ge2Pd8, optimized geometry, DFT GGA-PBE
# Volume ... 15.9 A^3/atom
# Energy relative to the elements, uncorrected ... -0.376 eV/atom
data_Si3Ge2Pd8
_cell_length_a 11.404
_cell_length_b 6.891
_cell_length_c 5.321
_cell_angle_alpha 90.00
_cell_angle_beta 98.19
_cell_angle_gamma 90.00
_space_group_name_H-M_alt 'C 1 2/m 1'
_space_group_IT_number 12
loop_
_space_group_symop_operation_xyz
'x,y,z'
'-x,-y,-z'
'-x,y,-z'
'x,-y,z'
'x+1/2,y+1/2,z'
'-x+1/2,-y+1/2,-z'
'-x+1/2,y+1/2,-z'
'x+1/2,-y+1/2,z'
loop_
_atom_site_label
_atom_site_fract_x
_atom_site_fract_y
_atom_site_fract_z
_atom_site_occupancy
Si1 0.000 0.000 0.000 1
Si2 0.000 0.197 0.500 1
Ge1 0.223 0.000 0.819 1
Pd1 0.097 0.500 0.383 1
Pd2 0.112 0.296 0.905 1
Pd3 0.160 0.000 0.338 1

=====

# SiGe3Pd, optimized geometry, DFT GGA-PBE
# Energy above the lowest structure with this stoichiometry ... 0.0 kJ per mole of atoms
# Volume ... 22.5 A^3/atom
# Energy relative to the elements, uncorrected ... 0.583 eV/atom
data_SiGe3Pd
_cell_length_a 4.827
_cell_length_b 4.827
_cell_length_c 4.827
_cell_angle_alpha 90.00
_cell_angle_beta 90.00
_cell_angle_gamma 90.00
_space_group_name_H-M_alt 'P m -3 m'
_space_group_IT_number 221
_space_group_name_Hall '-P 4 2 3'
loop_
_atom_site_label
_atom_site_fract_x
_atom_site_fract_y
_atom_site_fract_z
_atom_site_occupancy
Si1 0.000 0.000 0.000 1
Ge1 0.000 0.500 0.500 1
Pd1 0.500 0.500 0.500 1

=====

Which of these has the lowest energy relative to the elements, uncorrected? Si3Ge2Pd8

=====

Number 2 is which compound? SiGe3Pd

=====

Which formula does entry 2 have? SiGe3Pd

=====

What did the second record say?
# SiGe3Pd, optimized geometry, DFT GGA-PBE
# Energy above the lowest structure with this stoichiometry ... 0.0 kJ per mole of atoms
# Volume ... 22.5 A^3/atom
# Energy relative to the elements, uncorrected ... 0.583 eV/atom
data_SiGe3Pd
_cell_length_a 4.827
_cell_length_b 4.827
_cell_length_c 4.827
_cell_angle_alpha 90.00
_cell_angle_beta 90.00
_cell_angle_gamma 90.00
_space_group_name_H-M_alt 'P m -3 m'
_space_group_IT_number 221
_space_group_name_Hall '-P 4 2 3'
loop_
_atom_site_label
_atom_site_fract_x
_atom_site_fract_y
_atom_site_fract_z
_atom_site_occupancy
Si1 0.000 0.000 0.000 1
Ge1 0.000 0.500 0.500 1
Pd1 0.500 0.500 0.500 1